DFT (GGA-PBE) results for a relaxed structure of TcMo4Rh5.

POSCAR file:
```
TcMo4Rh5
1.0
6.5929 -1.3689 0.0000
6.5929 1.3689 0.0000
-2.8981 0.0000 8.3025
Tc Mo Rh
1 4 5
Direct
0.0000 0.0000 0.0000 Tc
0.1084 0.1084 0.2944 Mo
0.4060 0.4060 0.2018 Mo
0.5940 0.5940 0.7982 Mo
0.8916 0.8916 0.7056 Mo
0.0000 0.0000 0.5000 Rh
0.2938 0.2938 0.8846 Rh
0.3134 0.3134 0.4265 Rh
0.6866 0.6866 0.5735 Rh
0.7062 0.7062 0.1154 Rh
```

Values from the calculation:
* spin magnetization: 0.00 μB per formula unit
* E_form: -56.6 meV/atom